No. 1
Compound: MgCdRu
Source: the Alexandria database
Functional: PBE-GGA
Structure: relaxed

- DFT formation energy: 0.182 eV/atom
- Total moment: 0.43 μB/cell
- D(E_F): 1.08 states/eV/atom
- Polymorph energy (0 for the lowest one): 0.028 eV/atom

a b c (Å): 3.322 3.322 9.536
angles (deg): 90.00 90.00 90.00
Space group P4/nmm (No. 129, origin choice 2)
Symmetry-distinct sites (fractional):
Mg 0.250 0.250 0.093 [2 per cell]
Cd 0.250 0.250 0.400 [2 per cell]
Ru 0.250 0.250 0.764 [2 per cell]

=====

No. 2
Compound: MgCdRu2
Source: the Alexandria database
Functional: PBE-GGA
Structure: relaxed

- DFT formation energy: 0.232 eV/atom
- Total moment: 0.00 μB/cell
- D(E_F): 1.09 states/eV/atom

a b c (Å): 6.353 6.353 6.353
angles (deg): 90.00 90.00 90.00
Space group F-43m (No. 216)
Symmetry-distinct sites (fractional):
Mg 0.000 0.000 0.000 [4 per cell]
Cd 0.250 0.250 0.750 [4 per cell]
Ru 0.000 0.000 0.500 [4 per cell]
Ru 0.250 0.250 0.250 [4 per cell]

=====

No. 3
Compound: Mg2CdRu
Source: the Alexandria database
Functional: PBE-GGA
Structure: relaxed

- DFT formation energy: 0.091 eV/atom
- Total moment: 0.48 μB/cell
- D(E_F): 0.70 states/eV/atom

a b c (Å): 2.9863 2.9863 29.1128
angles (deg): 90.00 90.00 120.00
Space group R-3m (No. 166, hexagonal axes)
Symmetry-distinct sites (fractional):
Mg 0.0000 0.0000 0.2379 [6 per cell]
Cd 0.0000 0.0000 0.0000 [3 per cell]
Ru 0.0000 0.0000 0.5000 [3 per cell]

=====

No. 4
Compound: MgCd2RuS
Source: the Alexandria database
Functional: PBE-GGA
Structure: relaxed

- E_form (uncorrected): 0.158 eV per atom
- Total moment: 0.00 μB/cell
- D(E_F): 0.33 states/eV/atom

a b c (Å): 5.358 5.358 4.319
angles (deg): 90.00 90.00 90.00
Space group P4/mmm (No. 123)
Symmetry-distinct sites (fractional):
Mg 0.000 0.000 0.000 [1 per cell]
Cd 0.000 0.500 0.500 [2 per cell]
Ru 0.500 0.500 0.500 [1 per cell]
S 0.500 0.500 0.000 [1 per cell]

=====

No. 5
Compound: MgCd2SiRu
Source: the Alexandria database
Functional: PBE-GGA
Structure: relaxed

- E_form (uncorrected): 1.025 eV per atom
- Total moment: 2.08 μB/cell
- D(E_F): 0.92 states/eV/atom

a b c (Å): 4.942 4.942 4.864
angles (deg): 90.00 90.00 90.00
Space group P4/mmm (No. 123)
Symmetry-distinct sites (fractional):
Mg 0.000 0.000 0.000 [1 per cell]
Cd 0.000 0.500 0.500 [2 per cell]
Si 0.000 0.000 0.500 [1 per cell]
Ru 0.500 0.500 0.000 [1 per cell]

=====

No. 6
Compound: SmMgCdRu
Source: the Alexandria database
Functional: PBE-GGA
Structure: relaxed

- DFT formation energy: -0.050 eV/atom
- Total moment: 0.00 μB/cell
- D(E_F): 0.81 states/eV/atom

a b c (Å): 6.959 6.959 6.959
angles (deg): 90.00 90.00 90.00
Space group F-43m (No. 216)
Symmetry-distinct sites (fractional):
Sm 0.000 0.000 0.000 [4 per cell]
Mg 0.000 0.000 0.500 [4 per cell]
Cd 0.250 0.250 0.750 [4 per cell]
Ru 0.250 0.250 0.250 [4 per cell]

=====

No. 7
Compound: MgCdSnRu2
Source: the Alexandria database
Functional: PBE-GGA
Structure: relaxed

- DFT formation energy: 1.146 eV/atom
- Total moment: 0.99 μB/cell
- D(E_F): 1.07 states/eV/atom

a b c (Å): 4.901 4.901 5.017
angles (deg): 90.00 90.00 90.00
Space group P4/mmm (No. 123)
Symmetry-distinct sites (fractional):
Mg 0.000 0.000 0.000 [1 per cell]
Cd 0.500 0.500 0.000 [1 per cell]
Sn 0.000 0.000 0.500 [1 per cell]
Ru 0.000 0.500 0.500 [2 per cell]

=====

No. 8
Compound: SrMgCdRu2
Source: the Alexandria database
Functional: PBE-GGA
Structure: relaxed

- DFT formation energy: 1.036 eV/atom
- Total moment: 2.06 μB/cell
- D(E_F): 1.56 states/eV/atom

a b c (Å): 5.092 5.092 4.937
angles (deg): 90.00 90.00 90.00
Space group P4/mmm (No. 123)
Symmetry-distinct sites (fractional):
Sr 0.000 0.000 0.000 [1 per cell]
Mg 0.500 0.500 0.000 [1 per cell]
Cd 0.500 0.500 0.500 [1 per cell]
Ru 0.000 0.500 0.500 [2 per cell]

=====

No. 9
Compound: MgCd2TcRu
Source: the Alexandria database
Functional: PBE-GGA
Structure: relaxed

- DFT formation energy: 1.498 eV/atom
- Total moment: 3.48 μB/cell
- D(E_F): 0.82 states/eV/atom

a b c (Å): 4.830 4.830 4.597
angles (deg): 90.00 90.00 90.00
Space group P4/mmm (No. 123)
Symmetry-distinct sites (fractional):
Mg 0.000 0.000 0.000 [1 per cell]
Cd 0.000 0.500 0.000 [2 per cell]
Tc 0.500 0.500 0.500 [1 per cell]
Ru 0.000 0.000 0.500 [1 per cell]

=====

No. 10
Compound: ThMgCdRu
Source: the Alexandria database
Functional: PBE-GGA
Structure: relaxed

- DFT formation energy: -0.041 eV/atom
- Total moment: 0.00 μB/cell
- D(E_F): 1.15 states/eV/atom

a b c (Å): 7.055 7.055 7.055
angles (deg): 90.00 90.00 90.00
Space group F-43m (No. 216)
Symmetry-distinct sites (fractional):
Th 0.000 0.000 0.000 [4 per cell]
Mg 0.000 0.000 0.500 [4 per cell]
Cd 0.250 0.250 0.250 [4 per cell]
Ru 0.250 0.250 0.750 [4 per cell]

=====

No. 11
Compound: TmMgCdRu
Source: the Alexandria database
Functional: PBE-GGA
Structure: relaxed

- DFT formation energy: -0.138 eV/atom
- Total moment: 0.00 μB/cell
- D(E_F): 0.91 states/eV/atom

a b c (Å): 6.807 6.807 6.807
angles (deg): 90.00 90.00 90.00
Space group F-43m (No. 216)
Symmetry-distinct sites (fractional):
Tm 0.000 0.000 0.000 [4 per cell]
Mg 0.000 0.000 0.500 [4 per cell]
Cd 0.250 0.250 0.750 [4 per cell]
Ru 0.250 0.250 0.250 [4 per cell]

=====

No. 12
Compound: Mg4CdS5
Source: the Alexandria database
Functional: PBE-GGA
Structure: relaxed

- E_form (uncorrected): -1.265 eV per atom
- Total moment: 0.00 μB/cell
- D(E_F): 0.00 states/eV/atom

a b c (Å): 4.0819 4.0819 32.8019
angles (deg): 90.00 90.00 120.00
Space group P3m1 (No. 156)
Symmetry-distinct sites (fractional):
Mg 0.0000 0.0000 0.0000 [1 per cell]
Mg 0.0000 0.0000 0.1965 [1 per cell]
Mg 0.0000 0.0000 0.3928 [1 per cell]
Mg 0.0000 0.0000 0.5894 [1 per cell]
Mg 0.0000 0.0000 0.7945 [1 per cell]
Mg 0.6667 0.3333 0.0981 [1 per cell]
Mg 0.6667 0.3333 0.2945 [1 per cell]
Mg 0.6667 0.3333 0.4910 [1 per cell]
Cd 0.6667 0.3333 0.6905 [1 per cell]
Cd 0.6667 0.3333 0.8957 [1 per cell]
S 0.0000 0.0000 0.1212 [1 per cell]
S 0.0000 0.0000 0.3175 [1 per cell]
S 0.0000 0.0000 0.5140 [1 per cell]
S 0.0000 0.0000 0.7191 [1 per cell]
S 0.0000 0.0000 0.9245 [1 per cell]
S 0.6667 0.3333 0.0229 [1 per cell]
S 0.6667 0.3333 0.2193 [1 per cell]
S 0.6667 0.3333 0.4158 [1 per cell]
S 0.6667 0.3333 0.6121 [1 per cell]
S 0.6667 0.3333 0.8173 [1 per cell]

=====

What is the D(E_F) in the sixth record? 0.81 states/eV/atom